A geometry-optimized ZnSi3 structure, computed with PBE-GGA.

Unit cell a=4.895 b=4.895 c=4.701 alpha=78.98 beta=78.98 gamma=32.85
Element x y z (fractional)
Si 0.247 0.247 0.252
Si 0.753 0.753 0.748
Si 0.500 0.500 0.500
Zn 0.000 0.000 0.000

Properties
**Formation energy (no corrections)**: 0.435 eV/atom
**SG**: C2/m (12)
**Calculated density**: 4.15 g cm⁻³
**Spin magnetization**: 0.00 Bohr magnetons per cell

A geometry-optimized ZnSi3 structure, computed with PBE-GGA.

Unit cell a=4.738 b=4.738 c=4.738 alpha=90.00 beta=90.00 gamma=90.00
Element x y z (fractional)
Si 0.000 0.500 0.000
Zn 0.000 0.000 0.000
Si 0.000 0.000 0.500
Si 0.500 0.000 0.000

Properties
**Formation energy (no corrections)**: 1.336 eV/atom
**SG**: Pm-3m (221)
**Calculated density**: 2.34 g cm⁻³
**Spin magnetization**: 0.00 Bohr magnetons per cell

| no. | energy (eV/cell) |
| --- | --- |
| 1 | -15.80 |
| 2 | -12.20 |